# 1
CaPuAu4 (PBE-GGA, relaxed); ΔH_f (0 K) = -0.5545 eV/atom; relative energy among the computed polymorphs = 0 meV per atom
1.0
2.380 -4.127 0.000
2.380 4.127 0.000
-0.014 0.000 7.028
Ca Pu Au
1 1 4
Direct
0.000 0.000 0.000
0.000 0.000 0.500
0.333 0.667 0.256
0.333 0.667 0.744
0.667 0.333 0.256
0.667 0.333 0.744

# 2
CaPu5Au6 (PBE-GGA, relaxed); ΔH_f (0 K) = -0.4386 eV/atom
1.0
8.078 -3.704 0.000
8.078 3.704 0.000
-1.605 0.000 4.849
Ca Pu Au
1 5 6
Direct
0.000 0.000 0.000
0.170 0.170 0.670
0.343 0.343 0.343
0.500 0.500 0.000
0.657 0.657 0.657
0.830 0.830 0.330
0.072 0.586 0.828
0.235 0.765 0.500
0.414 0.928 0.172
0.586 0.072 0.828
0.765 0.235 0.500
0.928 0.414 0.172

# 3
CaPuAu4 (PBE-GGA, relaxed); ΔH_f (0 K) = -0.5482 eV/atom; relative energy among the computed polymorphs = 6 meV per atom
1.0
5.030 -1.852 0.000
5.030 1.852 0.000
-2.955 0.000 7.129
Ca Pu Au
1 1 4
Direct
0.000 0.000 0.000
0.000 0.000 0.500
0.331 0.331 0.166
0.334 0.334 0.668
0.666 0.666 0.332
0.669 0.669 0.834

What did we get for total magnetization? Answer: 6.0; 6.0; 5.6 μB per cell, in the order shown.
What did we get for energy? Answer: -5.46; -8.22; -5.46 eV per atom, in the order shown.